Below is crystalline Cd2GeIrBr at its relaxed geometry, with properties calculated at the GGA-PBE level.

Cell: 5.349 5.349 4.650 Å, 90.00 90.00 90.00°
Atoms (fractional coordinates):
1 Cd 0.000 0.500 0.000
2 Cd 0.500 0.000 0.000
3 Ge 0.000 0.000 0.500
4 Ir 0.000 0.000 0.000
5 Br 0.500 0.500 0.500

The calculation puts the total magnetic moment at 0.00 μB per atom. Its symmetry is P4/mmm, No. 123. The uncorrected formation energy is -0.0764 eV per atom.



Below is crystalline Cs4K2GaP2 at its relaxed geometry, with properties calculated at the GGA-PBE level.

Cell: 12.204 7.244 7.244 Å, 89.66 77.39 77.39°
Atoms (fractional coordinates):
1 P 0.327 0.143 0.143
2 P 0.673 0.857 0.857
3 K 0.045 0.233 0.233
4 K 0.955 0.767 0.767
5 Cs 0.708 0.352 0.850
6 Cs 0.292 0.150 0.648
7 Cs 0.708 0.850 0.352
8 Cs 0.292 0.648 0.150
9 Ga 0.500 0.000 0.000

The value obtained for the energy of formation from the pure elements is -5.061 kcal/mol of atoms. The calculation puts the total magnetic moment at 0.00 μB per atom. Its symmetry is C2/m, No. 12.